# AcReTe

A relaxed structure of AcReTe (GGA-PBE, OQMD via LeMat-Bulk).

```
data_AcReTe
_chemical_formula_sum 'Ac4 Re4 Te4'
_space_group_name_H-M_alt 'F -4 3 m'
_space_group_IT_number 216
_space_group_name_Hall 'F -4 2 3'
_cell_length_a 7.632
_cell_length_b 7.632
_cell_length_c 7.632
_cell_angle_alpha 90.00
_cell_angle_beta 90.00
_cell_angle_gamma 90.00
loop_
_atom_site_label
_atom_site_type_symbol
_atom_site_fract_x
_atom_site_fract_y
_atom_site_fract_z
Ac1 Ac 0.000 0.000 0.000
Re1 Re 0.250 0.250 0.750
Te1 Te 0.250 0.250 0.250
```

* energy relative to the lowest polymorph listed for this composition: 756.2 meV per atom
* crystal system: cubic
* final energy: -65.3 eV for the cell shown